Computed, not measured: a relaxed CdIn2Os crystal at the GGA-PBE level of DFT.

Unit cell a=5.3278 b=5.3278 c=5.3278 alpha=134.04 beta=134.04 gamma=67.03
Fractional positions:
Cd: 0.0000 0.0000 0.0000
In: 0.2500 0.7500 0.5000
In: 0.5000 0.5000 0.0000
Os: 0.7500 0.2500 0.5000

magnetization: 0.0000 μB/atom
SG: I-4m2 (119)
N(E_F): 1.85 states/eV/f.u.

Computed, not measured: a relaxed Cd2InOs crystal at the GGA-PBE level of DFT.

Unit cell a=5.4740 b=5.4740 c=5.4740 alpha=136.85 beta=136.85 gamma=62.67
Fractional positions:
Cd: 0.2500 0.7500 0.5000
Cd: 0.7500 0.2500 0.5000
In: 0.0000 0.0000 0.0000
Os: 0.5000 0.5000 0.0000

magnetization: 0.0771 μB/atom
SG: I4/mmm (139)
N(E_F): 2.25 states/eV/f.u.

Computed, not measured: a relaxed CdInOs crystal at the GGA-PBE level of DFT.

Unit cell a=6.5731 b=6.5731 c=6.5731 alpha=153.04 beta=153.04 gamma=38.50
Fractional positions:
Cd: 0.0000 0.0000 0.0000
In: 0.7061 0.7061 0.0000
Os: 0.3483 0.3483 0.0000

magnetization: 0.0000 μB/atom
ΔE to the lowest computed polymorph: 0.0091 eV/atom
SG: I4mm (107)
N(E_F): 2.79 states/eV/f.u.

Computed, not measured: a relaxed Cd3InOs crystal at the GGA-PBE level of DFT.

Unit cell a=5.2353 b=5.2353 c=5.2353 alpha=90.00 beta=90.00 gamma=90.00
Fractional positions:
Cd: 0.0000 0.0000 0.5000
Cd: 0.0000 0.5000 0.0000
Cd: 0.5000 0.0000 0.0000
In: 0.5000 0.5000 0.5000
Os: 0.0000 0.0000 0.0000

magnetization: 0.0002 μB/atom
ΔE to the lowest computed polymorph: 0.0000 eV/atom
SG: Pm-3m (221)
N(E_F): 3.97 states/eV/f.u.

Computed, not measured: a relaxed CdIn2Os crystal at the GGA-PBE level of DFT.

Unit cell a=4.8241 b=4.8241 c=4.8241 alpha=60.00 beta=60.00 gamma=60.00
Fractional positions:
Cd: 0.0000 0.0000 0.0000
In: 0.5000 0.5000 0.5000
In: 0.7500 0.7500 0.7500
Os: 0.2500 0.2500 0.2500

magnetization: 0.0001 μB/atom
SG: F-43m (216)
N(E_F): 3.18 states/eV/f.u.

Computed, not measured: a relaxed CdInOs crystal at the GGA-PBE level of DFT.

Unit cell a=8.7340 b=8.4959 c=2.8776 alpha=85.10 beta=75.74 gamma=19.16
Fractional positions:
Cd: 0.0000 0.0000 0.0000
In: 0.2994 0.2994 0.7006
Os: 0.6506 0.6506 0.3494

magnetization: 0.1564 μB/atom
ΔE to the lowest computed polymorph: 0.0748 eV/atom
SG: Fmm2 (42)
N(E_F): 2.60 states/eV/f.u.

Computed, not measured: a relaxed Cd2InOs crystal at the GGA-PBE level of DFT.

Unit cell a=10.6414 b=10.6414 c=10.6414 alpha=158.13 beta=158.13 gamma=31.12
Fractional positions:
Cd: 0.1058 0.6250 0.9808
Cd: 0.3750 0.3558 0.4808
Cd: 0.6442 0.1250 0.0192
Cd: 0.8750 0.8942 0.5192
In: 0.2500 0.7500 0.5000
In: 0.5000 0.5000 0.0000
Os: 0.0000 0.0000 0.0000
Os: 0.7500 0.2500 0.5000

magnetization: 0.1566 μB/atom
SG: I-42d (122)
N(E_F): 3.35 states/eV/f.u.

Computed, not measured: a relaxed Cd2InOs crystal at the GGA-PBE level of DFT.

Unit cell a=4.1354 b=4.1354 c=4.4211 alpha=90.00 beta=90.00 gamma=90.00
Fractional positions:
Cd: 0.0000 0.5000 0.0000
Cd: 0.5000 0.0000 0.0000
In: 0.0000 0.0000 0.5000
Os: 0.5000 0.5000 0.5000

magnetization: 0.0000 μB/atom
SG: P4/mmm (123)
N(E_F): 2.46 states/eV/f.u.

Computed, not measured: a relaxed CdIn2Os crystal at the GGA-PBE level of DFT.

Unit cell a=9.5582 b=9.5582 c=9.5582 alpha=19.10 beta=19.10 gamma=19.10
Fractional positions:
Cd: 0.0000 0.0000 0.0000
In: 0.2418 0.2418 0.2418
In: 0.7582 0.7582 0.7582
Os: 0.5000 0.5000 0.5000

magnetization: 0.0000 μB/atom
SG: R-3m (166)
N(E_F): 4.50 states/eV/f.u.

Computed, not measured: a relaxed CdIn2Os crystal at the GGA-PBE level of DFT.

Unit cell a=7.5926 b=7.5926 c=7.5926 alpha=97.19 beta=97.19 gamma=138.56
Fractional positions:
Cd: 0.3750 0.6250 0.7500
Cd: 0.6250 0.3750 0.2500
In: 0.0000 0.0000 0.0000
In: 0.0000 0.0000 0.5000
In: 0.0000 0.5000 0.0000
In: 0.5000 0.0000 0.5000
Os: 0.1250 0.8750 0.2500
Os: 0.8750 0.1250 0.7500

magnetization: 0.0000 μB/atom
SG: I4_1/amd (141)
N(E_F): 2.70 states/eV/f.u.

Computed, not measured: a relaxed CdInOs crystal at the GGA-PBE level of DFT.

Unit cell a=4.7231 b=4.7231 c=2.9248 alpha=90.00 beta=90.00 gamma=120.00
Fractional positions:
Cd: 0.0000 0.0000 0.0000
In: 0.6667 0.3333 0.5000
Os: 0.3333 0.6667 0.5000

magnetization: 0.0000 μB/atom
ΔE to the lowest computed polymorph: 0.0188 eV/atom
SG: P-6m2 (187)
N(E_F): 1.98 states/eV/f.u.

Computed, not measured: a relaxed CdIn2Os crystal at the GGA-PBE level of DFT.

Unit cell a=7.2086 b=7.2086 c=7.2086 alpha=156.72 beta=142.37 gamma=44.72
Fractional positions:
Cd: 0.0000 0.0000 0.0000
In: 0.3207 0.8207 0.5000
In: 0.6313 0.6313 0.0000
Os: 0.8127 0.3127 0.5000

magnetization: 0.0582 μB/atom
SG: Imm2 (44)
N(E_F): 2.89 states/eV/f.u.

Summary of formation energy from the elements in eV per formula unit
1.62, 1.67, 1.76, 3.43, 2.61, 1.96, 2.70, 1.87, 1.66, 1.97, 1.79, 1.10
(order as listed above)